Entry from Alexandria via LeMat-Bulk: an optimized crystal structure of InTcS2Cl (PBE-GGA).

Structure (CIF):
```
data_InTcS2Cl
_chemical_formula_sum 'In1 Tc1 S2 Cl1'
_cell_length_a 4.608
_cell_length_b 4.608
_cell_length_c 5.209
_cell_angle_alpha 90.00
_cell_angle_beta 90.00
_cell_angle_gamma 90.00
_symmetry_space_group_name_H-M 'P 4/m m m'
_symmetry_Int_Tables_number 123
_symmetry_space_group_name_Hall '-P 4 2'
loop_
_atom_site_label
_atom_site_type_symbol
_atom_site_fract_x
_atom_site_fract_y
_atom_site_fract_z
In1 In 0.000 0.000 0.000
Tc1 Tc 0.500 0.500 0.500
S1 S 0.000 0.500 0.500
Cl1 Cl 0.500 0.500 0.000
```

---

Entry from Alexandria via LeMat-Bulk: an optimized crystal structure of TiInSCl2 (PBE-GGA).

Structure (CIF):
```
data_TiInSCl2
_chemical_formula_sum 'Ti1 In1 S1 Cl2'
_cell_length_a 5.072
_cell_length_b 5.072
_cell_length_c 4.789
_cell_angle_alpha 90.00
_cell_angle_beta 90.00
_cell_angle_gamma 90.00
_symmetry_space_group_name_H-M 'P 4/m m m'
_symmetry_Int_Tables_number 123
_symmetry_space_group_name_Hall '-P 4 2'
loop_
_atom_site_label
_atom_site_type_symbol
_atom_site_fract_x
_atom_site_fract_y
_atom_site_fract_z
Ti1 Ti 0.000 0.000 0.000
In1 In 0.500 0.500 0.500
S1 S 0.000 0.000 0.500
Cl1 Cl 0.000 0.500 0.000
```

---

Entry from Alexandria via LeMat-Bulk: an optimized crystal structure of TiInS2Cl (PBE-GGA).

Structure (CIF):
```
data_TiInS2Cl
_chemical_formula_sum 'Ti1 In1 S2 Cl1'
_cell_length_a 4.762
_cell_length_b 4.762
_cell_length_c 4.984
_cell_angle_alpha 90.00
_cell_angle_beta 90.00
_cell_angle_gamma 90.00
_symmetry_space_group_name_H-M 'P 4/m m m'
_symmetry_Int_Tables_number 123
_symmetry_space_group_name_Hall '-P 4 2'
loop_
_atom_site_label
_atom_site_type_symbol
_atom_site_fract_x
_atom_site_fract_y
_atom_site_fract_z
Ti1 Ti 0.000 0.000 0.000
In1 In 0.500 0.500 0.500
S1 S 0.000 0.500 0.000
Cl1 Cl 0.000 0.000 0.500
```

---

Entry from Alexandria via LeMat-Bulk: an optimized crystal structure of TiInS2Cl (PBE-GGA).

Structure (CIF):
```
data_TiInS2Cl
_chemical_formula_sum 'Ti1 In1 S2 Cl1'
_cell_length_a 5.049
_cell_length_b 5.049
_cell_length_c 4.896
_cell_angle_alpha 90.00
_cell_angle_beta 90.00
_cell_angle_gamma 90.00
_symmetry_space_group_name_H-M 'P 4/m m m'
_symmetry_Int_Tables_number 123
_symmetry_space_group_name_Hall '-P 4 2'
loop_
_atom_site_label
_atom_site_type_symbol
_atom_site_fract_x
_atom_site_fract_y
_atom_site_fract_z
Ti1 Ti 0.000 0.000 0.000
In1 In 0.500 0.500 0.500
S1 S 0.000 0.500 0.500
Cl1 Cl 0.500 0.500 0.000
```

---

Entry from Alexandria via LeMat-Bulk: an optimized crystal structure of TiInSCl2 (PBE-GGA).

Structure (CIF):
```
data_TiInSCl2
_chemical_formula_sum 'Ti1 In1 S1 Cl2'
_cell_length_a 5.126
_cell_length_b 5.126
_cell_length_c 5.060
_cell_angle_alpha 90.00
_cell_angle_beta 90.00
_cell_angle_gamma 90.00
_symmetry_space_group_name_H-M 'P 4/m m m'
_symmetry_Int_Tables_number 123
_symmetry_space_group_name_Hall '-P 4 2'
loop_
_atom_site_label
_atom_site_type_symbol
_atom_site_fract_x
_atom_site_fract_y
_atom_site_fract_z
Ti1 Ti 0.000 0.000 0.000
In1 In 0.500 0.500 0.500
S1 S 0.500 0.500 0.000
Cl1 Cl 0.000 0.500 0.500
```

---

Entry from Alexandria via LeMat-Bulk: an optimized crystal structure of TlInSCl2 (PBE-GGA).

Structure (CIF):
```
data_TlInSCl2
_chemical_formula_sum 'Tl1 In1 S1 Cl2'
_cell_length_a 5.297
_cell_length_b 5.297
_cell_length_c 4.972
_cell_angle_alpha 90.00
_cell_angle_beta 90.00
_cell_angle_gamma 90.00
_symmetry_space_group_name_H-M 'P 4/m m m'
_symmetry_Int_Tables_number 123
_symmetry_space_group_name_Hall '-P 4 2'
loop_
_atom_site_label
_atom_site_type_symbol
_atom_site_fract_x
_atom_site_fract_y
_atom_site_fract_z
Tl1 Tl 0.000 0.000 0.000
In1 In 0.500 0.500 0.500
S1 S 0.500 0.500 0.000
Cl1 Cl 0.000 0.500 0.500
```

---

Computed energy above the lowest structure with this stoichiometry (eV per atom) in order:
0.000; 0.000; 0.000; 0.973; 1.108; 0.000
Computed E_form (uncorrected) (eV/atom) in order:
-0.18; -1.00; -0.87; 0.11; 0.10; -0.70